Version 1
Crystalline AlCo2S4 at its relaxed geometry, computed with PBE-GGA.

```
AlCo2S4
1.0
5.660 0.000 -2.449
-1.059 5.560 -2.449
-0.200 -0.242 7.301
S Co Al
8 4 2
Cartesian
2.054 -0.019 2.100
3.109 4.676 -3.225
2.593 3.303 1.260
3.837 1.388 4.137
4.442 5.198 -0.531
0.027 3.283 4.795
-0.289 2.152 1.979
1.826 1.288 -0.898
1.840 0.513 4.252
1.310 3.293 3.027
1.410 3.414 -0.623
4.240 3.414 -1.848
3.880 1.269 1.202
0.000 0.000 0.000
```

Calculated values
- calculated density (Mg/m³) = 4.07

***

Version 2
Crystalline AlCo2S4 at its relaxed geometry, computed with PBE-GGA.

```
AlCo2S4
1.0
-4.351 3.393 -3.964
-5.903 -2.851 -1.783
-5.826 2.351 2.585
S Co Al
8 4 2
Cartesian
-11.911 0.978 -0.954
-11.253 1.443 -3.878
-13.854 2.493 -2.724
-8.187 2.638 -2.997
-8.880 -0.149 -2.024
-8.846 2.173 -0.073
-11.219 3.765 -1.928
-6.245 1.124 -1.228
-7.874 0.112 0.006
-7.137 0.632 -3.268
-10.049 1.808 -1.976
-7.098 3.234 -1.084
-4.020 0.723 -0.790
0.000 0.000 0.000
```

Calculated values
- calculated density (Mg/m³) = 4.09

***

Going by the energies, version 2 is most stable and the next is 22.9 kJ/mol of atoms up.

***

Version 1
Crystalline AlCo2S2 at its relaxed geometry, computed with PBE-GGA.

```
AlCo2S2
1.0
-4.197 1.501 4.854
-2.562 -6.062 -0.341
2.059 -0.988 2.085
S Co Al
4 4 2
Cartesian
-3.608 -4.601 1.383
-5.224 -2.708 3.874
-3.151 0.040 3.130
-1.536 -1.853 0.638
-1.460 -4.340 1.678
-3.924 -4.454 4.057
-3.241 -1.209 4.920
-0.777 -1.095 2.541
0.000 0.000 0.000
-3.380 -2.281 2.256
```

Calculated values
- calculated density (Mg/m³) = 5.17

***

Version 2
Crystalline AlCo2S2 at its relaxed geometry, computed with PBE-GGA.

```
AlCo2S2
1.0
-0.028 -2.698 2.459
2.150 -1.999 -2.169
5.904 0.002 2.779
S Co Al
2 2 1
Cartesian
2.483 -1.658 0.919
5.543 -3.036 2.151
3.468 -2.522 2.692
4.558 -2.173 0.378
0.000 0.000 0.000
```

Calculated values
- calculated density (Mg/m³) = 4.35

***

Going by the energies, version 2 is most stable and the next is 23.9 kJ/mol of atoms up.